The following is a GGA-PBE calculation of a relaxed Na3SmTe2Se6 crystal, from Alexandria via LeMat-Bulk.

The structure in CIF format:
```
data_Na3SmTe2Se6
_chemical_formula_sum 'Na3 Sm1 Te2 Se6'
_space_group_name_H-M_alt 'P 1'
_space_group_IT_number 1
_space_group_name_Hall 'P 1'
_cell_length_a 7.305
_cell_length_b 7.305
_cell_length_c 7.418
_cell_angle_alpha 101.82
_cell_angle_beta 101.82
_cell_angle_gamma 114.58
loop_
_atom_site_label
_atom_site_fract_x
_atom_site_fract_y
_atom_site_fract_z
Na1 0.000 0.000 0.000
Na2 0.331 0.669 0.000
Na3 0.669 0.331 0.000
Sm1 0.500 0.500 0.500
Te1 0.172 0.828 0.500
Te2 0.828 0.172 0.500
Se1 0.105 0.454 0.260
Se2 0.241 0.241 0.720
Se3 0.454 0.105 0.260
Se4 0.546 0.895 0.740
Se5 0.759 0.759 0.280
Se6 0.895 0.546 0.740
```

Values from the calculation:
total magnetic moment	0.00	μB per formula unit
space-group type	C2/m, No. 12
formation energy from raw total energies	-0.79	eV per atom



The following is a GGA-PBE calculation of a relaxed Pm2TiTl crystal, from Alexandria via LeMat-Bulk.

The structure in CIF format:
```
data_Pm2TiTl
_chemical_formula_sum 'Pm2 Ti1 Tl1'
_space_group_name_H-M_alt 'P 1'
_space_group_IT_number 1
_space_group_name_Hall 'P 1'
_cell_length_a 4.918
_cell_length_b 4.918
_cell_length_c 4.496
_cell_angle_alpha 90.00
_cell_angle_beta 90.00
_cell_angle_gamma 90.00
loop_
_atom_site_label
_atom_site_fract_x
_atom_site_fract_y
_atom_site_fract_z
Pm1 0.000 0.500 0.000
Pm2 0.500 0.000 0.000
Ti1 0.000 0.000 0.500
Tl1 0.500 0.500 0.500
```

Values from the calculation:
formation energy	0.01	eV per atom
total magnetic moment	2.15	μB per formula unit
space-group type	P4/mmm, No. 123



The following is a GGA-PBE calculation of a relaxed TiInGa2Cl6 crystal, from Alexandria via LeMat-Bulk.

The structure in CIF format:
```
data_TiInGa2Cl6
_chemical_formula_sum 'Ti1 In1 Ga2 Cl6'
_space_group_name_H-M_alt 'P 1'
_space_group_IT_number 1
_space_group_name_Hall 'P 1'
_cell_length_a 7.307
_cell_length_b 7.329
_cell_length_c 7.675
_cell_angle_alpha 61.62
_cell_angle_beta 61.58
_cell_angle_gamma 60.11
loop_
_atom_site_label
_atom_site_fract_x
_atom_site_fract_y
_atom_site_fract_z
Ti1 0.000 0.000 0.000
In1 0.487 0.486 0.540
Ga1 0.198 0.196 0.408
Ga2 0.683 0.683 0.952
Cl1 0.080 0.345 0.761
Cl2 0.221 0.909 0.204
Cl3 0.346 0.814 0.760
Cl4 0.667 0.218 0.206
Cl5 0.811 0.080 0.762
Cl6 0.910 0.667 0.204
```

Values from the calculation:
total magnetic moment	1.00	μB per formula unit
space-group type	P1, No. 1
formation energy from raw total energies	-1.06	eV per atom



The following is a GGA-PBE calculation of a relaxed MgPaSe2 crystal, from Alexandria via LeMat-Bulk.

The structure in CIF format:
```
data_MgPaSe2
_chemical_formula_sum 'Mg1 Pa1 Se2'
_space_group_name_H-M_alt 'P 1'
_space_group_IT_number 1
_space_group_name_Hall 'P 1'
_cell_length_a 7.886
_cell_length_b 7.886
_cell_length_c 7.886
_cell_angle_alpha 27.04
_cell_angle_beta 27.04
_cell_angle_gamma 27.04
loop_
_atom_site_label
_atom_site_fract_x
_atom_site_fract_y
_atom_site_fract_z
Mg1 0.000 0.000 0.000
Pa1 0.167 0.167 0.167
Se1 0.590 0.590 0.590
Se2 0.744 0.744 0.744
```

Values from the calculation:
total magnetic moment	0.00	μB per formula unit
space-group type	R3m, No. 160
formation energy from raw total energies	-1.05	eV per atom



It is found that the total energy values, taken in the order of the records, are -45.33; -19.73; -38.36; -22.27 eV/cell.